Compound: TcHg2
Source: Alexandria
Functional: PBE
Structure: optimized geometry

Space-group type ... I4_1/amd, No. 141
Uncorrected energy ... -9.1 eV/f.u.
ΔE_f ... 0.6269 eV per atom
Calculated volume ... 19.7 Å³/atom

Lattice parameters (Å, degrees): 13.9092 13.9092 13.9092 167.91 167.91 17.13
Atoms (fractional coordinates):
1 Tc 0.3750 0.6250 0.7500
2 Tc 0.6250 0.3750 0.2500
3 Hg 0.0488 0.7988 0.2500
4 Hg 0.2012 0.9512 0.2500
5 Hg 0.7988 0.0488 0.7500
6 Hg 0.9512 0.2012 0.7500